Material: Tm3ScSb2
Method: DFT, PBE-GGA
State: optimized geometry

**E_form (uncorrected)**: -0.78 eV per atom

Unit cell a=4.3728 b=4.3728 c=8.2199 alpha=90.00 beta=90.00 gamma=90.00
Fractional positions:
Tm 0.5000 0.0000 0.3470
Tm 0.0000 0.5000 0.6530
Tm 0.0000 0.0000 0.0000
Sc 0.5000 0.5000 0.0000
Sb 0.5000 0.0000 0.7229
Sb 0.0000 0.5000 0.2771

***

Material: Tb3Pm2Ho5
Method: DFT, PBE-GGA
State: optimized geometry

**Relative energy among the computed polymorphs**: 0 meV per atom
**Formation energy from the elements**: 0.1951 eV per atom

Unit cell a=9.3842 b=9.4045 c=9.5713 alpha=108.23 beta=108.14 gamma=111.35
Fractional positions:
Tb 0.2705 0.0205 0.0411
Tb 0.7295 0.9795 0.9589
Tb 0.5147 0.4655 0.2453
Tb 0.4853 0.5345 0.7547
Tb 0.2306 0.7798 0.2453
Tb 0.7694 0.2202 0.7547
Pm 0.9666 0.0128 0.7434
Pm 0.0334 0.9872 0.2566
Pm 0.2768 0.7306 0.7434
Pm 0.7232 0.2694 0.2566
Ho 0.2236 0.4736 0.9472
Ho 0.7764 0.5264 0.0528
Ho 0.9745 0.7244 0.4489
Ho 0.4802 0.2302 0.4604
Ho 0.0255 0.2756 0.5511
Ho 0.5198 0.7698 0.5396
Ho 0.8897 0.6090 0.7533
Ho 0.1103 0.3910 0.2467
Ho 0.3637 0.1443 0.7533
Ho 0.6363 0.8557 0.2467

***

Material: AlNi2Rh
Method: DFT, PBE-GGA
State: optimized geometry

**Formation energy from the elements**: -0.3998 eV per atom

Unit cell a=4.5269 b=4.5269 c=4.5269 alpha=132.35 beta=132.35 gamma=69.68
Fractional positions:
Ni 0.0000 0.0000 0.0000
Ni 0.5000 0.5000 0.0000
Rh 0.2500 0.7500 0.5000
Al 0.7500 0.2500 0.5000

***

Material: Rb3Np2TlSe6
Method: DFT, PBE-GGA
State: optimized geometry

**E_form (uncorrected)**: -1.10 eV per atom

Unit cell a=4.3201 b=9.5667 c=10.2599 alpha=105.50 beta=102.15 gamma=90.00
Fractional positions:
Rb 0.5000 0.5000 0.0000
Rb 0.8473 0.1578 0.6946
Rb 0.1527 0.8422 0.3054
Np 0.8288 0.6614 0.6575
Np 0.1712 0.3386 0.3425
Tl 0.5000 0.0000 0.0000
Se 0.3260 0.8556 0.6520
Se 0.6793 0.5487 0.3587
Se 0.6740 0.1444 0.3480
Se 0.0312 0.2599 0.0623
Se 0.9688 0.7401 0.9377
Se 0.3207 0.4513 0.6413

***

Number 1: D(E_F) 4.49 states/eV/cell. Number 2: D(E_F) 37.29 states/eV/cell. Number 3: D(E_F) 5.00 states/eV/cell. Number 4: D(E_F) 16.00 states/eV/cell.